No. 1
# HoGaS3

Crystalline HoGaS3 at its relaxed geometry (PBE, the Alexandria database).

The structure in POSCAR format:
```
HoGaS3
1.0
6.539 -0.001 0.001
3.269 5.662 0.002
3.271 1.888 5.892
Ho Ga S
2 2 6
Direct
0.354 0.354 0.939 Ho
0.646 0.646 0.061 Ho
0.846 0.846 0.463 Ga
0.154 0.154 0.537 Ga
0.779 0.439 0.735 S
0.047 0.779 0.735 S
0.439 0.047 0.735 S
0.221 0.561 0.265 S
0.953 0.221 0.265 S
0.561 0.953 0.265 S
```

Results
**Magnetic moment**: 0.000 μB per cell
**Energy relative to the lowest polymorph listed for this composition**: 0.139 eV per atom
**E_form (uncorrected)**: -1.21 eV per atom



No. 2
# LaTmNiRu

Crystalline LaTmNiRu at its relaxed geometry (PBE, the Alexandria database).

The structure in POSCAR format:
```
LaTmNiRu
1.0
-2.710 1.328 -3.840
-0.863 -3.187 -3.599
-4.476 -1.863 -0.591
Ru Tm Ni La
1 1 1 1
Direct
0.750 0.750 0.750 Ru
0.500 0.500 0.500 Tm
0.250 0.250 0.250 Ni
0.000 0.000 0.000 La
```

Results
**Magnetic moment**: 0.000 μB per cell
**Energy of formation**: -0.290 eV per atom



No. 3
# LaYSc2

Crystalline LaYSc2 at its relaxed geometry (PBE, the Alexandria database).

The structure in POSCAR format:
```
LaYSc2
1.0
7.923 -0.003 -0.010
-3.160 4.877 0.018
1.604 1.027 3.006
Y Sc La
1 2 1
Direct
0.000 0.500 0.500 Y
0.000 0.000 0.000 Sc
0.500 0.000 0.500 Sc
0.500 0.500 0.000 La
```

Results
**Magnetic moment**: 0.000 μB per cell
**Energy relative to the lowest polymorph listed for this composition**: 0.002 eV per atom
**Energy of formation**: 0.054 eV per atom



No. 4
# GaBi2P

Crystalline GaBi2P at its relaxed geometry (PBE, the Alexandria database).

The structure in POSCAR format:
```
GaBi2P
1.0
0.042 -4.496 2.523
-2.319 -0.403 4.588
-4.344 -2.738 0.461
P Bi Ga
1 2 1
Direct
0.000 0.000 0.000 P
0.250 0.250 0.250 Bi
0.750 0.750 0.750 Bi
0.500 0.500 0.500 Ga
```

Results
**Magnetic moment**: 0.000 μB per cell
**Energy relative to the lowest polymorph listed for this composition**: 0.023 eV per atom
**Energy of formation**: 0.326 eV per atom



No. 5
# LiInAgHg2

Crystalline LiInAgHg2 at its relaxed geometry (PBE, the Alexandria database).

The structure in POSCAR format:
```
LiInAgHg2
1.0
-0.642 -1.699 4.495
-2.681 -4.586 -4.731
5.928 -3.121 -0.333
Li In Ag Hg
2 2 2 4
Direct
0.179 0.359 0.750 Li
0.821 0.641 0.250 Li
0.823 0.646 0.750 In
0.177 0.354 0.250 In
0.000 0.000 0.500 Ag
0.000 0.000 0.000 Ag
0.623 0.245 0.513 Hg
0.377 0.755 0.487 Hg
0.377 0.755 0.013 Hg
0.623 0.245 0.987 Hg
```

Results
**Magnetic moment**: 0.000 μB per cell
**Energy of formation**: -0.114 eV per atom



No. 6
# CsUTaO6

Crystalline CsUTaO6 at its relaxed geometry (PBE, the Alexandria database).

The structure in POSCAR format:
```
CsUTaO6
1.0
7.524 0.000 0.000
0.000 7.918 0.000
-3.762 -3.959 5.430
Cs U Ta O
2 2 2 12
Direct
0.885 0.635 0.769 Cs
0.115 0.365 0.231 Cs
0.500 0.500 0.000 U
0.500 0.000 0.000 U
0.500 0.000 0.500 Ta
0.000 0.000 0.500 Ta
0.428 0.678 0.856 O
0.805 0.055 0.609 O
0.819 0.056 0.251 O
0.432 0.695 0.251 O
0.432 0.056 0.251 O
0.819 0.695 0.251 O
0.572 0.322 0.144 O
0.195 0.945 0.391 O
0.181 0.944 0.749 O
0.568 0.305 0.749 O
0.568 0.944 0.749 O
0.181 0.305 0.749 O
```

Results
**Magnetic moment**: 0.000 μB per cell
**E_form (uncorrected)**: -2.89 eV per atom



No. 7
# BaBeAs2

Crystalline BaBeAs2 at its relaxed geometry (PBE, the Alexandria database).

The structure in POSCAR format:
```
BaBeAs2
1.0
3.967 0.047 -0.694
-0.231 3.960 -0.694
0.074 0.079 11.929
Ba Be As
2 2 4
Direct
0.120 0.120 0.232 Ba
0.888 0.888 0.768 Ba
0.257 0.757 0.500 Be
0.757 0.257 0.500 Be
0.311 0.311 0.610 As
0.701 0.701 0.390 As
0.950 0.515 0.000 As
0.515 0.950 0.000 As
```

Results
**Magnetic moment**: 0.000 μB per cell
**Energy of formation**: -0.655 eV per atom



No. 8
# PaAg2Sn

Crystalline PaAg2Sn at its relaxed geometry (PBE, the Alexandria database).

The structure in POSCAR format:
```
PaAg2Sn
1.0
-2.065 -0.537 2.381
0.033 -3.125 -0.676
6.673 -1.126 5.533
Pa Sn Ag
1 1 2
Direct
0.500 0.500 0.500 Pa
0.500 0.500 0.000 Sn
0.000 0.000 0.758 Ag
0.000 0.000 0.242 Ag
```

Results
**Magnetic moment**: 0.856 μB per cell
**Energy relative to the lowest polymorph listed for this composition**: 0.118 eV per atom
**Energy of formation**: 0.140 eV per atom